# ZrAsOs

A relaxed structure of ZrAsOs (GGA-PBE, Alexandria).

Cell lengths 4.3384, 4.3384, 3.1554 Å; angles 90.00, 90.00, 120.00 degrees
Space group P-6m2 (No. 187)
Asymmetric unit:
Zr (0.0000, 0.0000, 0.0000) x1
As (0.6667, 0.3333, 0.5000) x1
Os (0.3333, 0.6667, 0.5000) x1

The calculation puts the density at 11.506 g/cm³.

***

# ZrAsOs2

A relaxed structure of ZrAsOs2 (GGA-PBE, Alexandria).

Cell lengths 7.252, 7.252, 5.444 Å; angles 90.00, 90.00, 90.00 degrees
Space group I-42d (No. 122)
Asymmetric unit:
Zr (0.000, 0.000, 0.000) x4
As (0.000, 0.000, 0.500) x4
Os (0.188, 0.250, 0.625) x8

The calculation puts the density at 12.680 g/cm³.

***

# ZrAsOs2

A relaxed structure of ZrAsOs2 (GGA-PBE, Alexandria).

Cell lengths 3.122, 4.571, 9.104 Å; angles 90.00, 90.00, 90.00 degrees
Space group Imm2 (No. 44)
Asymmetric unit:
Zr (0.000, 0.000, 0.000) x2
As (0.000, 0.500, 0.751) x2
Os (0.000, 0.000, 0.470) x2
Os (0.000, 0.500, 0.223) x2

The calculation puts the density at 13.973 g/cm³.

***

# AsP

A relaxed structure of AsP (GGA-PBE, Alexandria).

Cell lengths 3.322, 5.502, 11.269 Å; angles 90.00, 90.00, 90.00 degrees
Space group Imma (No. 74)
Asymmetric unit:
As (0.000, 0.250, 0.025) x4
P (0.000, 0.250, 0.330) x4

The calculation puts the density at 3.415 g/cm³. The energy relative to the lowest polymorph listed for this composition is 0.60 eV per formula unit.

***

Number 1: DFT formation energy -501 meV/atom. Number 2: DFT formation energy 346 meV/atom. Number 3: DFT formation energy 29 meV/atom. Number 4: DFT formation energy 352 meV/atom.